Entry 1:
A relaxed Co3Ir crystal. Source: Alexandria, functional PBEsol.

a = 4.4291 Å, b = 5.0520 Å, c = 8.1674 Å
α = 90.00°, β = 90.00°, γ = 90.00°
Closest atoms and distances in Å follow each position.
Sites, in units of the cell vectors:
Co  0.5804  0.1286  0.7500  8 Co 2.48-2.54, 4 Ir 2.49-2.56
Co  0.2452  0.6265  0.0028  9 Co 2.48-2.59, 3 Ir 2.50-2.54
Co  0.2452  0.6265  0.4972  9 Co 2.48-2.59, 3 Ir 2.50-2.54
Co  0.2548  0.1265  0.5028  9 Co 2.48-2.59, 3 Ir 2.50-2.54
Co  0.2548  0.1265  0.9972  9 Co 2.48-2.59, 3 Ir 2.50-2.54
Co  0.9196  0.6286  0.2500  8 Co 2.48-2.54, 4 Ir 2.49-2.56
Co  0.0804  0.3714  0.7500  8 Co 2.48-2.54, 4 Ir 2.49-2.56
Co  0.7452  0.8735  0.0028  9 Co 2.48-2.59, 3 Ir 2.50-2.54
Co  0.7452  0.8735  0.4972  9 Co 2.48-2.59, 3 Ir 2.50-2.54
Co  0.7548  0.3735  0.5028  9 Co 2.48-2.59, 3 Ir 2.50-2.54
Co  0.7548  0.3735  0.9972  9 Co 2.48-2.59, 3 Ir 2.50-2.54
Co  0.4196  0.8714  0.2500  8 Co 2.48-2.54, 4 Ir 2.49-2.56
Ir  0.4221  0.3790  0.2500  10 Co 2.49-2.56, 2 Ir 2.57
Ir  0.0779  0.8790  0.7500  10 Co 2.49-2.56, 2 Ir 2.57
Ir  0.9221  0.1210  0.2500  10 Co 2.49-2.56, 2 Ir 2.57
Ir  0.5779  0.6210  0.7500  10 Co 2.49-2.56, 2 Ir 2.57

Calculated values
- Size of the total moment: 19.43 μB/cell
- Space group: No. 62
- Calculated formation energy: 2.57 kJ/mol of atoms
- Total DFT energy (no corrections): -32.928 eV per formula unit

Entry 2:
A relaxed ZrZn2 crystal. Source: Alexandria, functional PBEsol.

a = 4.0058 Å, b = 4.0058 Å, c = 12.7252 Å
α = 99.06°, β = 99.06°, γ = 90.00°
Closest atoms and distances in Å follow each position.
Sites, in units of the cell vectors:
Zn  0.7500  0.7500  0.5000  8 Zn 2.82-2.83, 4 Zr 2.84
Zn  0.2500  0.2500  0.5000  8 Zn 2.82-2.83, 4 Zr 2.84
Zn  0.0000  0.5000  0.0000  8 Zn 2.82-2.83, 4 Zr 2.84
Zn  0.5000  0.0000  0.0000  8 Zn 2.82-2.83, 4 Zr 2.84
Zn  0.5798  0.5798  0.1596  6 Zn 2.82-3.01, 6 Zr 2.83-2.98
Zn  0.4202  0.4202  0.8404  6 Zn 2.82-3.01, 6 Zr 2.83-2.98
Zn  0.8298  0.3298  0.6596  6 Zn 2.82-3.01, 6 Zr 2.83-2.98
Zn  0.6702  0.1702  0.3404  6 Zn 2.82-3.01, 6 Zr 2.83-2.98
Zr  0.9189  0.9189  0.8378  10 Zn 2.83-2.98, 2 Zr 2.96
Zr  0.0811  0.0811  0.1622  10 Zn 2.83-2.98, 2 Zr 2.96
Zr  0.1689  0.6689  0.3378  10 Zn 2.83-2.98, 2 Zr 2.96
Zr  0.3311  0.8311  0.6622  10 Zn 2.83-2.98, 2 Zr 2.96

Calculated values
- Size of the total moment: 0.01 μB/cell
- Space group: No. 141
- Calculated formation energy: -21.85 kJ/mol of atoms
- Total DFT energy (no corrections): -12.933 eV per formula unit

Entry 3:
A relaxed SrBeB2O5 crystal. Source: Alexandria, functional PBEsol.

a = 3.8409 Å, b = 5.2349 Å, c = 17.4815 Å
α = 97.89°, β = 90.00°, γ = 90.00°
Closest atoms and distances in Å follow each position.
Sites, in units of the cell vectors:
Sr  0.6451  0.2885  0.0718  7 O 2.48-2.69
Sr  0.8549  0.7885  0.5718  7 O 2.48-2.69
Sr  0.3549  0.7115  0.9282  7 O 2.48-2.69
Sr  0.1451  0.2115  0.4282  7 O 2.48-2.69
Be  0.7655  0.3951  0.2868  4 O 1.61-1.66
Be  0.7345  0.8951  0.7868  4 O 1.61-1.66
Be  0.2345  0.6049  0.7132  4 O 1.61-1.66
Be  0.2655  0.1049  0.2132  4 O 1.61-1.66
B  0.0098  0.7999  0.0987  3 O 1.37-1.41
B  0.4902  0.2999  0.5987  3 O 1.37-1.41
B  0.9902  0.2001  0.9013  3 O 1.37-1.41
B  0.5098  0.7001  0.4013  3 O 1.37-1.41
B  0.2793  0.6168  0.2142  4 O 1.46-1.49
B  0.2207  0.1168  0.7142  4 O 1.46-1.49
B  0.7207  0.3832  0.7858  4 O 1.46-1.49
B  0.7793  0.8832  0.2858  4 O 1.46-1.49
O  0.1251  0.5920  0.1351  2 B 1.41-1.49
O  0.3749  0.0920  0.6351  2 B 1.41-1.49
O  0.8749  0.4080  0.8649  2 B 1.41-1.49
O  0.6251  0.9080  0.3649  2 B 1.41-1.49
O  0.4704  0.3789  0.2197  1 B 1.46, 2 Be 1.62-1.63
O  0.0296  0.8789  0.7197  1 B 1.46, 2 Be 1.62-1.63
O  0.5296  0.6211  0.7803  1 B 1.46, 2 Be 1.62-1.63
O  0.9704  0.1211  0.2803  1 B 1.46, 2 Be 1.62-1.63
O  0.1172  0.0453  0.1264  1 B 1.37
O  0.3828  0.5453  0.6264  1 B 1.37
O  0.8828  0.9547  0.8736  1 B 1.37
O  0.6172  0.4547  0.3736  1 B 1.37
O  0.0050  0.6495  0.2748  2 B 1.49, 1 Be 1.66
O  0.4950  0.1495  0.7748  2 B 1.49, 1 Be 1.66
O  0.9950  0.3505  0.7252  2 B 1.49, 1 Be 1.66
O  0.5050  0.8505  0.2252  2 B 1.49, 1 Be 1.66
O  0.8023  0.7509  0.0349  1 B 1.37
O  0.6977  0.2509  0.5349  1 B 1.37
O  0.1977  0.2491  0.9651  1 B 1.37
O  0.3023  0.7491  0.4651  1 B 1.37

Calculated values
- Size of the total moment: 0.00 μB/cell
- Formation energy without anion corrections: -25.03 eV/f.u.
- Space group: No. 14
- Total DFT energy (no corrections): -71.147 eV per formula unit

Entry 4:
A relaxed RbCu2Br crystal. Source: Alexandria, functional PBEsol.

a = 5.0383 Å, b = 5.0383 Å, c = 5.0383 Å
α = 60.00°, β = 60.00°, γ = 60.00°
Closest atoms and distances in Å follow each position.
Sites, in units of the cell vectors:
Cu  0.2500  0.2500  0.2500  4 Rb 3.09, 4 Br 3.09
Cu  0.7500  0.7500  0.7500  4 Br 3.09, 4 Rb 3.09
Br  0.0000  0.0000  0.0000  8 Cu 3.09
Rb  0.5000  0.5000  0.5000  8 Cu 3.09

Calculated values
- Size of the total moment: 0.00 μB/cell
- Formation energy without anion corrections: 2.59 eV/f.u.
- Space group: No. 225
- Total DFT energy (no corrections): -8.972 eV per formula unit

Entry 5:
A relaxed ScSi4W crystal. Source: Alexandria, functional PBEsol.

a = 4.8999 Å, b = 4.8999 Å, c = 4.8999 Å
α = 60.00°, β = 60.00°, γ = 60.00°
Closest atoms and distances in Å follow each position.
Sites, in units of the cell vectors:
Sc  0.0000  0.0000  0.0000  12 Si 2.87, 4 W 3.00
Si  0.3754  0.3754  0.3754  6 Si 2.44-2.46
Si  0.3754  0.3754  0.8738  6 Si 2.44-2.46
Si  0.8738  0.3754  0.3754  6 Si 2.44-2.46
Si  0.3754  0.8738  0.3754  6 Si 2.44-2.46
W  0.7500  0.7500  0.7500  12 Si 2.87, 4 Sc 3.00

Calculated values
- Size of the total moment: 0.00 μB/cell
- Formation energy without anion corrections: 0.40 eV/f.u.
- Space group: No. 216
- Total DFT energy (no corrections): -42.995 eV per formula unit

Entry 6:
A relaxed Ta9Co2S6 crystal. Source: Alexandria, functional PBEsol.

a = 6.5248 Å, b = 10.2386 Å, c = 10.2386 Å
α = 120.00°, β = 90.00°, γ = 90.00°
Closest atoms and distances in Å follow each position.
Sites, in units of the cell vectors:
Ta  0.5000  0.2606  0.4517  3 S 2.37-2.49, 2 Co 2.42
Ta  0.0000  0.5287  0.7888  3 S 2.41-2.53, 2 Co 2.53
Ta  0.7510  0.4563  0.0000  3 S 2.48-2.53
Ta  0.2490  0.0000  0.4563  3 S 2.48-2.53
Ta  0.5000  0.4517  0.2606  3 S 2.37-2.49, 2 Co 2.42
Ta  0.5000  0.8088  0.5483  3 S 2.37-2.49, 2 Co 2.42
Ta  0.5000  0.7394  0.1912  3 S 2.37-2.49, 2 Co 2.42
Ta  0.2490  0.5437  0.5437  3 S 2.48-2.53
Ta  0.5000  0.1912  0.7394  3 S 2.37-2.49, 2 Co 2.42
Ta  0.0000  0.2601  0.4713  3 S 2.41-2.53, 2 Co 2.53
Ta  0.0000  0.7399  0.2112  3 S 2.41-2.53, 2 Co 2.53
Ta  0.0000  0.2112  0.7399  3 S 2.41-2.53, 2 Co 2.53
Ta  0.7510  0.0000  0.4563  3 S 2.48-2.53
Ta  0.0000  0.4713  0.2601  3 S 2.41-2.53, 2 Co 2.53
Ta  0.5000  0.5483  0.8088  3 S 2.37-2.49, 2 Co 2.42
Ta  0.2490  0.4563  0.0000  3 S 2.48-2.53
Ta  0.7510  0.5437  0.5437  3 S 2.48-2.53
Ta  0.0000  0.7888  0.5287  3 S 2.41-2.53, 2 Co 2.53
Co  0.7210  0.3333  0.6667  6 Ta 2.42-2.53
Co  0.2789  0.3333  0.6667  6 Ta 2.42-2.53
Co  0.2789  0.6667  0.3333  6 Ta 2.42-2.53
Co  0.7210  0.6667  0.3333  6 Ta 2.42-2.53
S  0.2373  0.7036  0.0000  5 Ta 2.49-2.53
S  0.2373  0.2964  0.2964  5 Ta 2.49-2.53
S  0.5000  0.2720  0.0000  4 Ta 2.37-2.50
S  0.0000  0.7264  0.7264  4 Ta 2.41-2.48
S  0.2373  0.0000  0.7036  5 Ta 2.49-2.53
S  0.7627  0.7036  0.0000  5 Ta 2.49-2.53
S  0.7627  0.0000  0.7036  5 Ta 2.49-2.53
S  0.5000  0.0000  0.2720  4 Ta 2.37-2.50
S  0.0000  0.0000  0.2736  4 Ta 2.41-2.48
S  0.0000  0.2736  0.0000  4 Ta 2.41-2.48
S  0.7627  0.2964  0.2964  5 Ta 2.49-2.53
S  0.5000  0.7280  0.7280  4 Ta 2.37-2.50

Calculated values
- Size of the total moment: 0.00 μB/cell
- Formation energy without anion corrections: -13.95 eV/f.u.
- Space group: No. 189
- Total DFT energy (no corrections): -168.689 eV per formula unit

Entry 7:
A relaxed LiSn2Pd2 crystal. Source: Alexandria, functional PBEsol.

a = 3.2759 Å, b = 7.5291 Å, c = 7.5291 Å
α = 90.00°, β = 90.00°, γ = 90.00°
Closest atoms and distances in Å follow each position.
Sites, in units of the cell vectors:
Sn  0.5000  0.1625  0.6625  6 Pd 2.70-2.78
Sn  0.5000  0.6625  0.8375  6 Pd 2.70-2.78
Sn  0.5000  0.8375  0.3375  6 Pd 2.70-2.78
Sn  0.5000  0.3375  0.1625  6 Pd 2.70-2.78
Pd  0.0000  0.3646  0.8646  6 Sn 2.70-2.78, 1 Pd 2.88, 2 Li 2.93
Pd  0.0000  0.8646  0.6354  6 Sn 2.70-2.78, 1 Pd 2.88, 2 Li 2.93
Pd  0.0000  0.6354  0.1354  6 Sn 2.70-2.78, 1 Pd 2.88, 2 Li 2.93
Pd  0.0000  0.1354  0.3646  6 Sn 2.70-2.78, 1 Pd 2.88, 2 Li 2.93
Li  0.0000  0.0000  0.0000  4 Pd 2.93, 8 Sn 3.26, 2 Li 3.28
Li  0.0000  0.5000  0.5000  4 Pd 2.93, 8 Sn 3.26, 2 Li 3.28

Calculated values
- Size of the total moment: 0.00 μB/cell
- Space group: No. 127
- Calculated formation energy: -47.04 kJ/mol of atoms
- Total DFT energy (no corrections): -24.840 eV per formula unit

Entry 8:
A relaxed Ni2BiSe crystal. Source: Alexandria, functional PBEsol.

a = 4.5036 Å, b = 4.5036 Å, c = 4.5036 Å
α = 60.00°, β = 60.00°, γ = 60.00°
Closest atoms and distances in Å follow each position.
Sites, in units of the cell vectors:
Ni  0.2500  0.2500  0.2500  4 Se 2.76, 4 Bi 2.76
Ni  0.7500  0.7500  0.7500  4 Se 2.76, 4 Bi 2.76
Bi  0.5000  0.5000  0.5000  8 Ni 2.76
Se  0.0000  0.0000  0.0000  8 Ni 2.76

Calculated values
- Size of the total moment: 0.00 μB/cell
- Formation energy without anion corrections: 0.67 eV/f.u.
- Space group: No. 225
- Total DFT energy (no corrections): -19.781 eV per formula unit

Entry 9:
A relaxed TiCdIO2 crystal. Source: Alexandria, functional PBEsol.

a = 3.9396 Å, b = 3.9396 Å, c = 5.6794 Å
α = 90.00°, β = 90.00°, γ = 90.00°
Closest atoms and distances in Å follow each position.
Sites, in units of the cell vectors:
I  0.0000  0.0000  0.5000  4 Cd 2.79, 2 Ti 2.84
Ti  0.0000  0.0000  0.0000  4 O 1.97
O  0.0000  0.5000  0.0000  2 Ti 1.97
O  0.5000  0.0000  0.0000  2 Ti 1.97
Cd  0.5000  0.5000  0.5000  4 I 2.79

Calculated values
- Size of the total moment: 0.00 μB/cell
- Formation energy without anion corrections: -6.32 eV/f.u.
- Space group: No. 123
- Total DFT energy (no corrections): -28.106 eV per formula unit

Entry 10:
A relaxed SrYSb crystal. Source: Alexandria, functional PBEsol.

a = 4.3380 Å, b = 4.3380 Å, c = 7.1249 Å
α = 90.00°, β = 90.00°, γ = 120.00°
Closest atoms and distances in Å follow each position.
Sites, in units of the cell vectors:
Sb  0.0000  0.0000  0.0247  3 Y 2.97, 3 Sr 3.28
Sr  0.3333  0.6667  0.7275  3 Sb 3.28
Y  0.6667  0.3333  0.2478  3 Sb 2.97

Calculated values
- Size of the total moment: 0.00 μB/cell
- Formation energy without anion corrections: -1.67 eV/f.u.
- Space group: No. 156
- Total DFT energy (no corrections): -14.894 eV per formula unit

Entry 11:
A relaxed BeCoRu crystal. Source: Alexandria, functional PBEsol.

a = 2.6564 Å, b = 2.6564 Å, c = 4.7576 Å
α = 106.21°, β = 106.21°, γ = 90.00°
Closest atoms and distances in Å follow each position.
Sites, in units of the cell vectors:
Ru  0.3390  0.3390  0.6779  4 Be 2.40, 4 Co 2.49, 4 Ru 2.66
Co  0.6512  0.6512  0.3024  4 Be 2.25, 4 Ru 2.49
Be  0.0098  0.0098  0.0197  4 Co 2.25, 4 Ru 2.40

Calculated values
- Size of the total moment: 1.04 μB/cell
- Space group: No. 107
- Calculated formation energy: -10.79 kJ/mol of atoms
- Energy relative to the lowest polymorph listed for this composition: 0.0 meV/atom
- Total DFT energy (no corrections): -22.245 eV per formula unit

Entry 12:
A relaxed Hf2CoAgSb crystal. Source: Alexandria, functional PBEsol.

a = 4.8752 Å, b = 5.0332 Å, c = 5.0332 Å
α = 90.00°, β = 90.00°, γ = 90.00°
Closest atoms and distances in Å follow each position.
Sites, in units of the cell vectors:
Sb  0.5000  0.0000  0.0000  2 Ag 2.44
Hf  0.0000  0.0000  0.5000  2 Ag 2.52
Hf  0.0000  0.5000  0.0000  2 Ag 2.52
Ag  0.0000  0.0000  0.0000  2 Sb 2.44, 4 Hf 2.52
Co  0.5000  0.5000  0.5000  8 Hf 3.50, 4 Sb 3.56

Calculated values
- Size of the total moment: 1.50 μB/cell
- Formation energy without anion corrections: 7.36 eV/f.u.
- Space group: No. 123
- Total DFT energy (no corrections): -29.254 eV per formula unit